Record 1
Here is crystalline NaLi8Ag2 at its relaxed geometry from Alexandria via LeMat-Bulk. Energies are from PBE-GGA.

a = 7.8971 Å, b = 12.1818 Å, c = 5.1373 Å
α = 90.00°, β = 110.67°, γ = 90.00°
Space group C2/m (No. 12)
Inequivalent atoms, fractional coordinates:
Na 0.0000 0.0000 0.0000 x2
Li 0.0000 0.2499 0.0000 x4
Li 0.0896 0.5000 0.8015 x4
Li 0.2034 0.1257 0.6027 x8
Ag 0.0000 0.3116 0.5000 x4

Properties
D(E_F)	4.69	states/eV/f.u.
energy relative to the elements	-23	meV/atom
VASP energy	-2.053	eV per atom
energy relative to the lowest polymorph listed for this composition	0.029	eV per atom

Record 2
Here is crystalline HfZr2Sn2N2 at its relaxed geometry from Alexandria via LeMat-Bulk. Energies are from PBE-GGA.

a = 4.1359 Å, b = 4.1359 Å, c = 14.9869 Å
α = 90.00°, β = 90.00°, γ = 90.00°
Space group I4/mmm (No. 139)
Inequivalent atoms, fractional coordinates:
Hf 0.0000 0.0000 0.0000 x2
Zr 0.0000 0.0000 0.4053 x4
Sn 0.0000 0.0000 0.2025 x4
N 0.0000 0.5000 0.0000 x4

Properties
D(E_F)	3.06	states/eV/f.u.
VASP energy	-8.152	eV per atom

Record 3
Here is crystalline Tb6MgSc at its relaxed geometry from Alexandria via LeMat-Bulk. Energies are from PBE-GGA.

a = 4.9133 Å, b = 4.9133 Å, c = 9.9007 Å
α = 90.00°, β = 90.00°, γ = 90.00°
Space group P4/mmm (No. 123)
Inequivalent atoms, fractional coordinates:
Tb 0.0000 0.0000 0.0000 x1
Tb 0.0000 0.0000 0.5000 x1
Tb 0.0000 0.5000 0.2479 x4
Mg 0.5000 0.5000 0.5000 x1
Sc 0.5000 0.5000 0.0000 x1

Properties
D(E_F)	12.59	states/eV/f.u.
energy relative to the elements	24	meV/atom
VASP energy	-4.440	eV per atom
energy relative to the lowest polymorph listed for this composition	0.000	eV per atom